No. 1
## Li2Ca2Pd3 (PBE)

Data for a geometry-optimized Li2Ca2Pd3 structure.

Summary:
density of states at the Fermi level: 0.153 states/eV per atom
ΔE to the lowest computed polymorph: 2 meV per atom
total magnetic moment: 0.0 μB per formula unit
crystal system: orthorhombic
DFT formation energy: -334 kJ/mol of formula units
symmetry: Cmmm, No. 65

The structure in POSCAR format:
```
Li2Ca2Pd3
1.0
3.7278 0.0000 0.0000
0.0000 22.2207 0.0000
0.0000 0.0000 3.1194
Li Ca Pd
4 4 6
direct
0.0000 0.2160 0.0000 Li
0.0000 0.7840 0.0000 Li
0.5000 0.2840 0.0000 Li
0.5000 0.7160 0.0000 Li
0.0000 0.0821 0.0000 Ca
0.0000 0.9179 0.0000 Ca
0.5000 0.4179 0.0000 Ca
0.5000 0.5821 0.0000 Ca
0.0000 0.3321 0.5000 Pd
0.0000 0.5000 0.5000 Pd
0.0000 0.6679 0.5000 Pd
0.5000 0.0000 0.5000 Pd
0.5000 0.1679 0.5000 Pd
0.5000 0.8321 0.5000 Pd
```

No. 2
## SmCd20Pd2 (PBE)

Data for a geometry-optimized SmCd20Pd2 structure.

Summary:
density of states at the Fermi level: 0.349 states/eV per atom
total magnetic moment: 0.0 μB per formula unit
crystal system: cubic
DFT formation energy: -397 kJ/mol of formula units
symmetry: Fd-3m, No. 227

The structure in POSCAR format:
```
SmCd20Pd2
1.0
0.0000 7.9325 7.9325
7.9325 0.0000 7.9325
7.9325 7.9325 0.0000
Sm Cd Pd
2 40 4
direct
0.1250 0.1250 0.1250 Sm
0.8750 0.8750 0.8750 Sm
0.0000 0.0000 0.0000 Cd
0.0000 0.0000 0.5000 Cd
0.0000 0.5000 0.0000 Cd
0.0565 0.3225 0.3225 Cd
0.0565 0.3225 0.7985 Cd
0.0565 0.7985 0.3225 Cd
0.2015 0.6775 0.6775 Cd
0.2015 0.6775 0.9435 Cd
0.2015 0.9435 0.6775 Cd
0.2370 0.2370 0.5130 Cd
0.2370 0.5130 0.2370 Cd
0.2370 0.5130 0.5130 Cd
0.3225 0.0565 0.3225 Cd
0.3225 0.0565 0.7985 Cd
0.3225 0.3225 0.0565 Cd
0.3225 0.3225 0.7985 Cd
0.3225 0.7985 0.0565 Cd
0.3225 0.7985 0.3225 Cd
0.4870 0.4870 0.7630 Cd
0.4870 0.7630 0.4870 Cd
0.4870 0.7630 0.7630 Cd
0.5000 0.0000 0.0000 Cd
0.5130 0.2370 0.2370 Cd
0.5130 0.2370 0.5130 Cd
0.5130 0.5130 0.2370 Cd
0.6775 0.2015 0.6775 Cd
0.6775 0.2015 0.9435 Cd
0.6775 0.6775 0.2015 Cd
0.6775 0.6775 0.9435 Cd
0.6775 0.9435 0.2015 Cd
0.6775 0.9435 0.6775 Cd
0.7630 0.4870 0.4870 Cd
0.7630 0.4870 0.7630 Cd
0.7630 0.7630 0.4870 Cd
0.7985 0.0565 0.3225 Cd
0.7985 0.3225 0.0565 Cd
0.7985 0.3225 0.3225 Cd
0.9435 0.2015 0.6775 Cd
0.9435 0.6775 0.2015 Cd
0.9435 0.6775 0.6775 Cd
0.0000 0.5000 0.5000 Pd
0.5000 0.0000 0.5000 Pd
0.5000 0.5000 0.0000 Pd
0.5000 0.5000 0.5000 Pd
```

No. 3
## Ca2Si2Au (PBE)

Data for a geometry-optimized Ca2Si2Au structure.

Summary:
density of states at the Fermi level: 0.237 states/eV per atom
ΔE to the lowest computed polymorph: 94 meV per atom
total magnetic moment: 0.0 μB per formula unit
energy relative to the elements, uncorrected: -50.7 kJ/mol of atoms
crystal system: monoclinic
symmetry: C2/m, No. 12

The structure in POSCAR format:
```
Ca2Si2Au
1.0
5.2340 -2.2650 0.0000
5.2340 2.2650 0.0000
-4.1848 0.0000 9.1540
Ca Si Au
4 4 2
direct
0.0875 0.0875 0.3715 Ca
0.1674 0.1674 0.0703 Ca
0.8326 0.8326 0.9297 Ca
0.9125 0.9125 0.6285 Ca
0.4009 0.4009 0.3769 Si
0.4864 0.4864 0.1593 Si
0.5137 0.5137 0.8407 Si
0.5991 0.5991 0.6231 Si
0.2373 0.2373 0.6946 Au
0.7627 0.7627 0.3054 Au
```

No. 4
## SrTa2Zn (PBE)

Data for a geometry-optimized SrTa2Zn structure.

Summary:
density of states at the Fermi level: 1.012 states/eV per atom
total magnetic moment: 0.0 μB per formula unit
crystal system: orthorhombic
DFT formation energy: 282 kJ/mol of formula units
symmetry: Pmmm, No. 47

The structure in POSCAR format:
```
SrTa2Zn
1.0
3.0403 0.0000 0.0000
0.0000 5.0876 0.0000
0.0000 0.0000 5.5047
Sr Ta Zn
1 2 1
direct
0.0000 0.0000 0.0000 Sr
0.0000 0.5000 0.5000 Ta
0.5000 0.0000 0.5000 Ta
0.5000 0.5000 0.0000 Zn
```

No. 5
## La8Pr2Zn (PBE)

Data for a geometry-optimized La8Pr2Zn structure.

Summary:
density of states at the Fermi level: 1.353 states/eV per atom
ΔE to the lowest computed polymorph: 0 meV per atom
total magnetic moment: 0.0 μB per formula unit
crystal system: monoclinic
DFT formation energy: -25 kJ/mol of formula units
symmetry: C2/m, No. 12

The structure in POSCAR format:
```
La8Pr2Zn
1.0
9.9819 -2.9208 0.0000
9.9819 2.9208 0.0000
-0.4376 0.0000 6.6170
La Pr Zn
8 2 1
direct
0.0373 0.0373 0.2497 La
0.1539 0.1539 0.7971 La
0.3450 0.3450 0.8756 La
0.4209 0.4209 0.3884 La
0.5791 0.5791 0.6116 La
0.6550 0.6550 0.1244 La
0.8461 0.8461 0.2029 La
0.9627 0.9627 0.7503 La
0.2363 0.2363 0.3292 Pr
0.7637 0.7637 0.6708 Pr
0.5000 0.5000 0.0000 Zn
```

No. 6
## Pr4Dy5Ho2 (PBE)

Data for a geometry-optimized Pr4Dy5Ho2 structure.

Summary:
density of states at the Fermi level: 1.401 states/eV per atom
ΔE to the lowest computed polymorph: 0 meV per atom
total magnetic moment: 0.0 μB per formula unit
crystal system: monoclinic
DFT formation energy: 114 kJ/mol of formula units
symmetry: C2/m, No. 12

The structure in POSCAR format:
```
Pr4Dy5Ho2
1.0
9.6226 -2.8428 0.0000
9.6226 2.8428 0.0000
-0.0955 0.0000 6.6824
Pr Dy Ho
4 5 2
direct
0.0198 0.0198 0.2879 Pr
0.3063 0.3063 0.9284 Pr
0.6937 0.6937 0.0716 Pr
0.9802 0.9802 0.7121 Pr
0.1303 0.1303 0.8897 Dy
0.2089 0.2089 0.4025 Dy
0.5000 0.5000 0.0000 Dy
0.7911 0.7911 0.5975 Dy
0.8697 0.8697 0.1103 Dy
0.4024 0.4024 0.4454 Ho
0.5976 0.5976 0.5546 Ho
```